No. 1
Material: GdLuPdRu
Method: DFT, PBE-GGA
State: relaxed Values from VASP.

Summary:
N(E_F) (states/eV per atom): 0.493
E_form (eV per atom): -0.656

Quantum ESPRESSO input file:
```
&SYSTEM
  ibrav = 0, nat = 4, ntyp = 4
/
ATOMIC_SPECIES
Gd 157.25 Gd.upf
Pd 106.42 Pd.upf
Lu 174.97 Lu.upf
Ru 101.07 Ru.upf
CELL_PARAMETERS angstrom
4.8511 0.0000 0.0000
2.4255 4.2011 0.0000
2.4255 1.4004 3.9609
ATOMIC_POSITIONS angstrom
Gd 0.0000 0.0000 0.0000
Pd 2.4255 1.4004 0.9902
Lu 4.8511 2.8008 1.9804
Ru 7.2766 4.2011 2.9706
```

No. 2
Material: PrTmCdRu
Method: DFT, PBE-GGA
State: relaxed Values from VASP.

Summary:
N(E_F) (states/eV per atom): 0.831
E_form (eV per atom): -0.210

Quantum ESPRESSO input file:
```
&SYSTEM
  ibrav = 0, nat = 4, ntyp = 4
/
ATOMIC_SPECIES
Pr 140.91 Pr.upf
Tm 168.93 Tm.upf
Ru 101.07 Ru.upf
Cd 112.41 Cd.upf
CELL_PARAMETERS angstrom
-0.3016 0.6156 -5.0598
-4.0248 -1.8240 -2.5583
-3.4371 3.2150 -1.9803
ATOMIC_POSITIONS angstrom
Pr -3.8818 1.0033 -4.7992
Tm 0.0000 0.0000 0.0000
Ru -5.8227 1.5049 -7.1988
Cd -1.9409 0.5016 -2.3996
```